Crystalline TiNiP at its relaxed geometry. Source: Alexandria via LeMat-Bulk, functional PBEsol.

Values from the calculation:
Crystal system   orthorhombic

Cell lengths 5.9922, 3.5389, 6.8487 Å; angles 90.00, 90.00, 90.00 degrees
Space group Pnma (No. 62)
Inequivalent atoms, fractional coordinates:
Ti1 0.0254 0.2500 0.1755 (multiplicity 4)
Ni1 0.1471 0.2500 0.5632 (multiplicity 4)
P1 0.2308 0.7500 0.3772 (multiplicity 4)

=====

Crystalline Tl2NiP at its relaxed geometry. Source: Alexandria via LeMat-Bulk, functional PBEsol.

Values from the calculation:
Crystal system   trigonal

Cell lengths 3.7744, 3.7744, 21.2528 Å; angles 90.00, 90.00, 120.00 degrees
Space group R3m (No. 160, hexagonal axes)
Inequivalent atoms, fractional coordinates:
Tl1 0.0000 0.0000 0.0000 (multiplicity 3)
Tl2 0.0000 0.0000 0.2005 (multiplicity 3)
Ni1 0.0000 0.0000 0.7664 (multiplicity 3)
P1 0.0000 0.0000 0.4336 (multiplicity 3)

=====

Crystalline Tl3NiP at its relaxed geometry. Source: Alexandria via LeMat-Bulk, functional PBEsol.

Values from the calculation:
Crystal system   cubic

Cell lengths 4.9567, 4.9567, 4.9567 Å; angles 90.00, 90.00, 90.00 degrees
Space group Pm-3m (No. 221)
Inequivalent atoms, fractional coordinates:
Tl1 0.0000 0.0000 0.5000 (multiplicity 3)
Ni1 0.0000 0.0000 0.0000 (multiplicity 1)
P1 0.5000 0.5000 0.5000 (multiplicity 1)

=====

Crystalline Tl2NiP at its relaxed geometry. Source: Alexandria via LeMat-Bulk, functional PBEsol.

Values from the calculation:
Crystal system   monoclinic

Cell lengths 5.9492, 6.9972, 3.8496 Å; angles 90.00, 103.40, 90.00 degrees
Space group C2/m (No. 12)
Inequivalent atoms, fractional coordinates:
Tl1 0.2500 0.2500 0.0000 (multiplicity 4)
Ni1 0.0000 0.0000 0.5000 (multiplicity 2)
P1 0.0000 0.5000 0.5000 (multiplicity 2)

=====

Crystalline Tl2NiP at its relaxed geometry. Source: Alexandria via LeMat-Bulk, functional PBEsol.

Values from the calculation:
Crystal system   tetragonal

Cell lengths 3.5093, 3.5093, 6.1382 Å; angles 90.00, 90.00, 90.00 degrees
Space group P4/mmm (No. 123)
Inequivalent atoms, fractional coordinates:
Tl1 0.0000 0.0000 0.2424 (multiplicity 2)
Ni1 0.5000 0.5000 0.0000 (multiplicity 1)
P1 0.5000 0.5000 0.5000 (multiplicity 1)

=====

Crystalline TmNiP at its relaxed geometry. Source: Alexandria via LeMat-Bulk, functional PBEsol.

Values from the calculation:
Crystal system   hexagonal

Cell lengths 3.8256, 3.8256, 7.4560 Å; angles 90.00, 90.00, 120.00 degrees
Space group P6_3/mmc (No. 194)
Inequivalent atoms, fractional coordinates:
Tm1 0.0000 0.0000 0.0000 (multiplicity 2)
Ni1 0.3333 0.6667 0.2500 (multiplicity 2)
P1 0.3333 0.6667 0.7500 (multiplicity 2)

=====

no.,uncorrected energy (eV/atom),theoretical density (g cm⁻³)
1,-7.91,6.3
2,-4.44,9.5
3,-3.54,9.6
4,-3.77,10.6
5,-3.77,10.9
6,-6.90,9.1